DFT (SCAN) results for a crystal of RbNa3Au relaxed with PBEsol.

Cell lengths 5.7633, 5.7633, 5.7633 Å; angles 90.00, 90.00, 90.00 degrees
Last column: nearest neighbours and their distance in Å.
Space group Pm-3m (No. 221)
Inequivalent atoms, fractional coordinates:
Rb: 0.0000 0.0000 0.0000 [1 per cell]  12 Na 4.08
Na: 0.0000 0.5000 0.5000 [3 per cell]  2 Au 2.88
Au: 0.5000 0.5000 0.5000 [1 per cell]  6 Na 2.88

Values from the calculation:
calculated formation energy: -0.153 eV per atom
Fermi-level density of states: 0.487 states/eV per atom
spin magnetization: 0.0 μB/cell